[1]
First-principles (GGA-PBE) data for crystalline LaCoSe2N at its relaxed geometry, as listed in Alexandria via LeMat-Bulk.

The magnetic moment comes out at 0.3 Bohr magnetons per cell. For the uncorrected formation energy, the calculation gives -0.63 eV per atom.

The structure belongs to space group P4/mmm (No. 123); the cell edges are 5.039, 5.039 and 3.608 Å and the angles 90.00°, 90.00° and 90.00°. The asymmetric unit holds La at (0.000, 0.000, 0.000), Co at (0.500, 0.500, 0.500), Se at (0.000, 0.500, 0.500) and N at (0.500, 0.500, 0.000).



[2]
First-principles (GGA-PBE) data for crystalline CaZr2P at its relaxed geometry, as listed in Alexandria via LeMat-Bulk.

The formation energy from the elements is -0.33 eV per atom. The magnetic moment comes out at 0.0 Bohr magnetons per cell.

The structure belongs to space group P4/mmm (No. 123); the cell edges are 3.298, 3.298 and 8.835 Å and the angles 90.00°, 90.00° and 90.00°. The asymmetric unit holds Ca at (0.000, 0.000, 0.000), Zr at (0.500, 0.500, 0.333) and P at (0.000, 0.000, 0.500).



[3]
First-principles (GGA-PBE) data for crystalline K3RbNa7 at its relaxed geometry, as listed in Alexandria via LeMat-Bulk.

The formation energy from the elements is 0.10 eV per atom. The magnetic moment comes out at 0.0 Bohr magnetons per cell.

The structure belongs to space group C2/m (No. 12); the cell edges are 11.185, 14.085 and 7.856 Å and the angles 90.00°, 108.30° and 90.00°. The asymmetric unit holds K at (0.000, 0.000, 0.000), K at (0.000, 0.235, 0.500), Rb at (0.000, 0.500, 0.000), Na at (0.000, 0.500, 0.500), Na at (0.174, 0.239, 0.155) and Na at (0.196, 0.000, 0.536).



[4]
First-principles (GGA-PBE) data for crystalline La4Sm3Tl at its relaxed geometry, as listed in Alexandria via LeMat-Bulk.

The formation energy from the elements is -0.07 eV per atom. The magnetic moment comes out at 0.0 Bohr magnetons per cell.

The structure belongs to space group Pmn2_1 (No. 31); the cell edges are 10.200, 7.150 and 7.287 Å and the angles 90.00°, 90.00° and 90.00°. The asymmetric unit holds La at (0.000, 0.001, 0.000), La at (0.000, 0.498, 0.501), La at (0.249, 0.753, 0.250), Sm at (0.000, 0.500, 0.000), Sm at (0.250, 0.233, 0.250) and Tl at (0.000, 0.999, 0.500).



[5]
First-principles (GGA-PBE) data for crystalline Cs2HgH6Pb at its relaxed geometry, as listed in Alexandria via LeMat-Bulk.

For the total energy, the calculation gives -2.49 eV per atom. The magnetic moment comes out at 0.0 Bohr magnetons per cell.

The structure belongs to space group C2/m (No. 12); the cell edges are 8.792, 8.768 and 6.332 Å and the angles 90.00°, 133.87° and 90.00°. The asymmetric unit holds Cs at (0.000, 0.250, 0.000), Hg at (0.000, 0.000, 0.500), H at (0.000, 0.229, 0.500), H at (0.230, 0.000, 0.500), H at (0.242, 0.000, 0.983) and Pb at (0.000, 0.500, 0.500).



[6]
First-principles (GGA-PBE) data for crystalline ZrInS3 at its relaxed geometry, as listed in Alexandria via LeMat-Bulk.

The magnetic moment comes out at 0.9 Bohr magnetons per cell. For the uncorrected formation energy, the calculation gives 0.16 eV per atom.

The structure belongs to space group Pm-3m (No. 221); the cell edges are 4.892, 4.892 and 4.892 Å and the angles 90.00°, 90.00° and 90.00°. The asymmetric unit holds Zr at (0.000, 0.000, 0.000), In at (0.500, 0.500, 0.500) and S at (0.000, 0.500, 0.500).